# 1
Below is an optimized crystal structure of Ba3In8Sn3, with properties calculated at the GGA-PBE level.

The space group is Immm (No. 71) and the conventional cell measures 5.1302, 11.4044 and 14.8500 Å, with angles of 90.00, 90.00 and 90.00 degrees. The inequivalent atoms are Ba at (0.0000, 0.0000, 0.0000), Ba at (0.0000, 0.0000, 0.3162), In at (0.0000, 0.2714, 0.1454), In at (0.0000, 0.3709, 0.3355), Sn at (0.0000, 0.2096, 0.5000) and Sn at (0.0000, 0.5000, 0.0000).

For the density of states at the Fermi level, the calculation gives 12.52 states/eV/cell. The total energy is -0.235 Ry/atom.

=====

# 2
Below is an optimized crystal structure of Sm2Dy5Al4, with properties calculated at the GGA-PBE level.

The space group is Immm (No. 71) and the conventional cell measures 3.3441, 9.9218 and 18.3339 Å, with angles of 90.00, 90.00 and 90.00 degrees. The inequivalent atoms are Sm at (0.0000, 0.0000, 0.1697), Dy at (0.0000, 0.3352, 0.1792), Dy at (0.0000, 0.5000, 0.5000), Al at (0.0000, 0.0000, 0.4306) and Al at (0.0000, 0.2916, 0.0000).

For the density of states at the Fermi level, the calculation gives 23.68 states/eV/cell. The total energy is -0.312 Ry/atom.